Computed, not measured: Al2CoIr2 after structural relaxation at the GGA-PBE level of DFT.

**Energy**: -6.83 eV/atom
**SG**: P4/mbm
**Formation enthalpy at 0 K**: -0.37 eV/atom

Lattice parameters (Å, degrees): 7.100 7.100 2.894 90.00 90.00 90.00
Atoms (fractional coordinates):
Ir 0.647 0.147 0.000
Ir 0.353 0.853 0.000
Ir 0.147 0.353 0.000
Ir 0.853 0.647 0.000
Al 0.652 0.848 0.500
Al 0.848 0.348 0.500
Al 0.348 0.152 0.500
Al 0.152 0.652 0.500
Co 0.500 0.500 0.000
Co 0.000 0.000 0.000


Computed, not measured: Al4CoIr2 after structural relaxation at the GGA-PBE level of DFT.

**Energy**: -6.44 eV/atom
**SG**: R-3m
**Formation enthalpy at 0 K**: -0.76 eV/atom

Lattice parameters (Å, degrees): 4.199 4.199 7.121 72.85 72.85 60.00
Atoms (fractional coordinates):
Ir 0.746 0.746 0.762
Ir 0.254 0.254 0.238
Al 0.618 0.618 0.146
Al 0.128 0.128 0.616
Al 0.382 0.382 0.854
Al 0.872 0.872 0.384
Co 0.000 0.000 0.000


Computed, not measured: AlCo2Ir after structural relaxation at the GGA-PBE level of DFT.

**Energy**: -6.55 eV/atom
**SG**: I-42d
**Formation enthalpy at 0 K**: 0.15 eV/atom

Lattice parameters (Å, degrees): 3.527 3.527 9.233 78.99 78.99 90.00
Atoms (fractional coordinates):
Al 0.250 0.750 0.500
Al 0.500 0.500 0.000
Co 0.145 0.625 0.250
Co 0.875 0.855 0.750
Co 0.375 0.395 0.750
Co 0.605 0.125 0.250
Ir 0.000 0.000 0.000
Ir 0.750 0.250 0.500


Computed, not measured: AlCoIr2 after structural relaxation at the GGA-PBE level of DFT.

**Energy**: -6.95 eV/atom
**SG**: I-42d
**Formation enthalpy at 0 K**: 0.19 eV/atom

Lattice parameters (Å, degrees): 3.764 3.764 8.884 77.77 77.77 90.00
Atoms (fractional coordinates):
Ir 0.375 0.356 0.750
Ir 0.644 0.125 0.250
Ir 0.106 0.625 0.250
Ir 0.875 0.894 0.750
Al 0.250 0.750 0.500
Al 0.500 0.500 0.000
Co 0.000 0.000 0.000
Co 0.750 0.250 0.500


Computed, not measured: Al4CoIr3 after structural relaxation at the GGA-PBE level of DFT.

**Energy**: -6.94 eV/atom
**SG**: P4/mmm
**Formation enthalpy at 0 K**: -0.86 eV/atom

Lattice parameters (Å, degrees): 2.984 2.984 11.891 90.00 90.00 90.00
Atoms (fractional coordinates):
Co 0.500 0.500 0.000
Ir 0.500 0.500 0.244
Ir 0.500 0.500 0.756
Ir 0.500 0.500 0.500
Al 0.000 0.000 0.113
Al 0.000 0.000 0.371
Al 0.000 0.000 0.629
Al 0.000 0.000 0.887


Computed, not measured: AlCo2Ir after structural relaxation at the GGA-PBE level of DFT.

**Energy**: -6.93 eV/atom
**SG**: P2/m
**Formation enthalpy at 0 K**: -0.22 eV/atom

Lattice parameters (Å, degrees): 3.590 2.667 5.790 62.38 90.00 90.00
Atoms (fractional coordinates):
Co 0.000 0.999 0.002
Co 0.000 0.501 0.498
Al 0.500 0.750 0.750
Ir 0.500 0.250 0.250


Computed, not measured: AlCo2Ir after structural relaxation at the GGA-PBE level of DFT.

**Energy**: -6.65 eV/atom
**SG**: Cmmm
**Formation enthalpy at 0 K**: 0.05 eV/atom

Lattice parameters (Å, degrees): 2.630 2.630 8.273 90.00 90.00 115.74
Atoms (fractional coordinates):
Al 0.500 0.500 0.750
Ir 0.500 0.500 0.250
Co 0.000 0.000 0.510
Co 0.000 0.000 0.990


Computed, not measured: AlCo2Ir after structural relaxation at the GGA-PBE level of DFT.

**Energy**: -6.70 eV/atom
**SG**: Cmm2
**Formation enthalpy at 0 K**: 0.00 eV/atom

Lattice parameters (Å, degrees): 2.659 2.659 8.078 90.00 90.00 114.48
Atoms (fractional coordinates):
Co 0.000 0.000 0.000
Co 0.500 0.500 0.235
Ir 0.000 0.000 0.505
Al 0.500 0.500 0.760


Computed, not measured: AlCo2Ir after structural relaxation at the GGA-PBE level of DFT.

**Energy**: -6.97 eV/atom
**SG**: Cm
**Formation enthalpy at 0 K**: -0.27 eV/atom

Lattice parameters (Å, degrees): 4.631 4.631 4.325 70.42 70.42 35.32
Atoms (fractional coordinates):
Ir 0.502 0.502 0.459
Al 0.256 0.256 0.280
Co 0.741 0.741 0.810
Co 0.001 0.001 0.951


Computed, not measured: AlCoIr2 after structural relaxation at the GGA-PBE level of DFT.

**Energy**: -7.39 eV/atom
**SG**: R-3m
**Formation enthalpy at 0 K**: -0.25 eV/atom

Lattice parameters (Å, degrees): 8.365 8.365 8.365 19.11 19.11 19.11
Atoms (fractional coordinates):
Al 0.250 0.250 0.250
Ir 0.999 0.999 0.999
Ir 0.501 0.501 0.501
Co 0.750 0.750 0.750


Computed, not measured: AlCo2Ir after structural relaxation at the GGA-PBE level of DFT.

**Energy**: -6.80 eV/atom
**SG**: R-3m
**Formation enthalpy at 0 K**: -0.09 eV/atom

Lattice parameters (Å, degrees): 8.275 8.275 8.275 18.54 18.54 18.54
Atoms (fractional coordinates):
Al 0.750 0.750 0.750
Co 0.497 0.497 0.497
Co 0.003 0.003 0.003
Ir 0.250 0.250 0.250


Computed, not measured: AlCoIr after structural relaxation at the GGA-PBE level of DFT.

**E above lowest polymorph**: 77 kJ/mol of formula units
**Energy**: -6.70 eV/atom
**SG**: F-43m
**Formation enthalpy at 0 K**: -0.13 eV/atom

Lattice parameters (Å, degrees): 3.984 3.984 3.984 60.00 60.00 60.00
Atoms (fractional coordinates):
Co 0.750 0.750 0.750
Ir 0.000 0.000 0.000
Al 0.500 0.500 0.500


Computed, not measured: AlCoIr2 after structural relaxation at the GGA-PBE level of DFT.

**Energy**: -7.40 eV/atom
**SG**: Imm2
**Formation enthalpy at 0 K**: -0.26 eV/atom

Lattice parameters (Å, degrees): 5.069 5.069 5.069 147.25 129.92 61.14
Atoms (fractional coordinates):
Al 0.493 0.493 0.000
Ir 0.007 0.007 0.000
Ir 0.735 0.235 0.500
Co 0.265 0.765 0.500


Computed, not measured: AlCo2Ir after structural relaxation at the GGA-PBE level of DFT.

**Energy**: -6.98 eV/atom
**SG**: Immm
**Formation enthalpy at 0 K**: -0.27 eV/atom

Lattice parameters (Å, degrees): 4.931 4.931 4.141 65.11 65.11 33.78
Atoms (fractional coordinates):
Al 0.250 0.250 0.250
Co 0.992 0.992 0.008
Co 0.508 0.508 0.492
Ir 0.750 0.750 0.750


Computed, not measured: Al6Co5Ir after structural relaxation at the GGA-PBE level of DFT.

**Energy**: -6.23 eV/atom
**SG**: Cmmm
**Formation enthalpy at 0 K**: -0.66 eV/atom

Lattice parameters (Å, degrees): 4.080 5.775 6.455 90.00 71.58 90.00
Atoms (fractional coordinates):
Co 0.333 0.500 0.333
Co 0.667 0.500 0.667
Co 0.667 0.000 0.666
Co 0.333 0.000 0.334
Co 0.000 0.500 0.000
Al 0.830 0.746 0.340
Al 0.500 0.260 0.000
Al 0.830 0.254 0.340
Al 0.170 0.746 0.660
Al 0.170 0.254 0.660
Al 0.500 0.740 0.000
Ir 0.000 0.000 0.000


Computed, not measured: AlCo2Ir after structural relaxation at the GGA-PBE level of DFT.

**Energy**: -6.95 eV/atom
**SG**: Cmmm
**Formation enthalpy at 0 K**: -0.25 eV/atom

Lattice parameters (Å, degrees): 4.377 4.377 2.672 90.00 90.00 106.72
Atoms (fractional coordinates):
Ir 0.500 0.000 0.500
Co 0.000 0.000 0.000
Co 0.500 0.500 0.000
Al 0.000 0.500 0.500


Computed, not measured: AlCoIr2 after structural relaxation at the GGA-PBE level of DFT.

**Energy**: -7.35 eV/atom
**SG**: Pmmm
**Formation enthalpy at 0 K**: -0.20 eV/atom

Lattice parameters (Å, degrees): 2.808 4.568 4.290 90.00 90.00 90.00
Atoms (fractional coordinates):
Ir 0.500 0.500 0.000
Ir 0.000 0.000 0.000
Al 0.500 0.000 0.500
Co 0.000 0.500 0.500


Computed, not measured: Al6CoIr5 after structural relaxation at the GGA-PBE level of DFT.

**Energy**: -7.05 eV/atom
**SG**: Cmmm
**Formation enthalpy at 0 K**: -0.89 eV/atom

Lattice parameters (Å, degrees): 4.249 5.954 6.726 90.00 71.59 90.00
Atoms (fractional coordinates):
Ir 0.666 0.000 0.668
Ir 0.667 0.500 0.666
Ir 0.000 0.500 0.000
Ir 0.334 0.000 0.332
Ir 0.333 0.500 0.334
Al 0.163 0.754 0.674
Al 0.500 0.242 0.000
Al 0.837 0.754 0.326
Al 0.500 0.758 0.000
Al 0.163 0.246 0.674
Al 0.837 0.246 0.326
Co 0.000 0.000 0.000


Computed, not measured: AlCoIr after structural relaxation at the GGA-PBE level of DFT.

**E above lowest polymorph**: 10 kJ/mol of formula units
**Energy**: -6.93 eV/atom
**SG**: Imm2
**Formation enthalpy at 0 K**: -0.36 eV/atom

Lattice parameters (Å, degrees): 4.559 4.559 4.559 144.43 133.33 60.03
Atoms (fractional coordinates):
Al 0.000 0.000 0.000
Co 0.334 0.334 0.000
Ir 0.666 0.666 0.000


Computed, not measured: AlCoIr2 after structural relaxation at the GGA-PBE level of DFT.

**Energy**: -7.52 eV/atom
**SG**: Cmmm
**Formation enthalpy at 0 K**: -0.37 eV/atom

Lattice parameters (Å, degrees): 4.407 4.407 2.794 90.00 90.00 101.56
Atoms (fractional coordinates):
Ir 0.000 0.000 0.000
Ir 0.500 0.500 0.000
Co 0.000 0.500 0.500
Al 0.500 0.000 0.500